First-principles (PBE) data for a relaxed DyEr4Ni4 crystal, as listed in Alexandria via LeMat-Bulk.

a b c (Å): 8.4916 8.4916 5.5391
angles (deg): 90.00 90.00 90.00
Space group P4_2/n (No. 86, origin choice 2)
Inequivalent atoms, fractional coordinates:
Dy 0.2500 0.2500 0.2500 [2 per cell]
Er 0.0680 0.6634 0.1493 [8 per cell]
Ni 0.0256 0.6165 0.6369 [8 per cell]

Properties
- Formation enthalpy at 0 K: -0.285 eV/atom

=====

First-principles (PBE) data for a relaxed Cr3BiB crystal, as listed in Alexandria via LeMat-Bulk.

a b c (Å): 5.2484 5.2484 5.2484
angles (deg): 90.00 90.00 90.00
Space group Pm-3m (No. 221)
Inequivalent atoms, fractional coordinates:
Cr 0.0000 0.0000 0.5000 [3 per cell]
Bi 0.0000 0.0000 0.0000 [1 per cell]
B 0.5000 0.5000 0.5000 [1 per cell]

Properties
- Formation enthalpy at 0 K: 2.253 eV/atom
- Energy above the lowest structure with this stoichiometry: 1782 meV per atom

=====

First-principles (PBE) data for a relaxed TlW2Au crystal, as listed in Alexandria via LeMat-Bulk.

a b c (Å): 3.2600 4.8515 9.6375
angles (deg): 90.00 90.00 90.00
Space group Cmm2 (No. 35)
Inequivalent atoms, fractional coordinates:
Tl 0.0000 0.0000 0.0000 [2 per cell]
W 0.0000 0.0000 0.5190 [2 per cell]
W 0.0000 0.5000 0.7273 [2 per cell]
Au 0.0000 0.5000 0.2787 [2 per cell]

Properties
- Formation enthalpy at 0 K: 0.509 eV/atom
- Energy above the lowest structure with this stoichiometry: 0 meV per atom

=====

First-principles (PBE) data for a relaxed BaNdY crystal, as listed in Alexandria via LeMat-Bulk.

a b c (Å): 3.8194 3.8194 9.4986
angles (deg): 90.00 90.00 120.00
Space group P3m1 (No. 156)
Inequivalent atoms, fractional coordinates:
Ba 0.0000 0.0000 0.0000 [1 per cell]
Nd 0.3333 0.6667 0.6408 [1 per cell]
Y 0.6667 0.3333 0.3492 [1 per cell]

Properties
- Formation enthalpy at 0 K: 0.163 eV/atom
- Energy above the lowest structure with this stoichiometry: 8 meV per atom

=====

First-principles (PBE) data for a relaxed PH2Ru crystal, as listed in Alexandria via LeMat-Bulk.

a b c (Å): 2.9385 2.9386 6.0762
angles (deg): 102.96 90.47 120.00
Space group P1 (No. 1)
Inequivalent atoms, fractional coordinates:
P 0.0000 0.0000 0.0000 [1 per cell]
H 0.4748 0.9359 0.4271 [1 per cell]
H 0.8539 0.6887 0.5619 [1 per cell]
Ru 0.7606 0.5117 0.2828 [1 per cell]

Properties
- Energy above the lowest structure with this stoichiometry: 120 meV per atom

=====

First-principles (PBE) data for a relaxed Mg6Zn5Cd crystal, as listed in Alexandria via LeMat-Bulk.

a b c (Å): 4.5897 7.1332 7.1815
angles (deg): 90.00 108.08 90.00
Space group P2/m (No. 10)
Inequivalent atoms, fractional coordinates:
Mg 0.0000 0.2365 0.0000 [2 per cell]
Mg 0.3304 0.2460 0.6601 [4 per cell]
Zn 0.1644 0.5000 0.3299 [2 per cell]
Zn 0.1676 0.0000 0.3356 [2 per cell]
Zn 0.5000 0.0000 0.0000 [1 per cell]
Cd 0.5000 0.5000 0.0000 [1 per cell]

Properties
- Formation enthalpy at 0 K: -0.077 eV/atom

=====

First-principles (PBE) data for a relaxed CaNiPd3 crystal, as listed in Alexandria via LeMat-Bulk.

a b c (Å): 4.6609 4.6609 4.6609
angles (deg): 90.00 90.00 90.00
Space group Pm-3m (No. 221)
Inequivalent atoms, fractional coordinates:
Ca 0.0000 0.0000 0.0000 [1 per cell]
Ni 0.5000 0.5000 0.5000 [1 per cell]
Pd 0.0000 0.5000 0.5000 [3 per cell]

Properties
- Formation enthalpy at 0 K: 0.069 eV/atom
- Energy above the lowest structure with this stoichiometry: 0 meV per atom

=====

First-principles (PBE) data for a relaxed Nd2TiSi3Ir4 crystal, as listed in Alexandria via LeMat-Bulk.

a b c (Å): 4.1321 4.1321 10.4329
angles (deg): 90.00 90.00 90.00
Space group P-4m2 (No. 115)
Inequivalent atoms, fractional coordinates:
Nd 0.0000 0.5000 0.2443 [2 per cell]
Ti 0.0000 0.0000 0.5000 [1 per cell]
Si 0.0000 0.5000 0.8754 [2 per cell]
Si 0.5000 0.5000 0.5000 [1 per cell]
Ir 0.0000 0.0000 0.0000 [1 per cell]
Ir 0.0000 0.5000 0.6398 [2 per cell]
Ir 0.5000 0.5000 0.0000 [1 per cell]

Properties
- Total DFT energy (no corrections): -0.58237 Ry/atom